Compound: YTlP2
Source: the Alexandria database
Functional: meta-GGA SCAN
Structure: PBEsol geometry Values from VASP.

Results
* E_form: -0.639 eV/atom
* N(E_F): 1.99 states/eV per cell
* space group: No. 123
* E above lowest polymorph: 0.14 eV/f.u.

Geometry as Quantum ESPRESSO input:
```
&SYSTEM
  ibrav = 0, nat = 4, ntyp = 3
/
ATOMIC_SPECIES
Y 88.91 Y.upf
P 30.97 P.upf
Tl 204.38 Tl.upf
ATOMIC_POSITIONS crystal
Y 0.500 0.500 0.500
P 0.000 0.000 0.500
P 0.500 0.500 0.000
Tl 0.000 0.000 0.000
CELL_PARAMETERS angstrom
3.953 0.000 0.000
0.000 3.953 0.000
0.000 0.000 5.724
```

=====

Compound: BaCrAu2I
Source: the Alexandria database
Functional: meta-GGA SCAN
Structure: PBEsol geometry Values from VASP.

Results
* E_form (uncorrected): 123 kJ/mol of formula units
* N(E_F): 3.18 states/eV per cell
* space group: No. 123

Geometry as Quantum ESPRESSO input:
```
&SYSTEM
  ibrav = 0, nat = 5, ntyp = 4
/
ATOMIC_SPECIES
I 126.90 I.upf
Cr 52.00 Cr.upf
Au 196.97 Au.upf
Ba 137.33 Ba.upf
ATOMIC_POSITIONS crystal
I 0.000 0.000 0.000
Cr 0.500 0.000 0.000
Au 0.000 0.000 0.500
Au 0.000 0.500 0.000
Ba 0.500 0.500 0.500
CELL_PARAMETERS angstrom
-3.017 -2.674 -2.860
4.328 -1.924 -2.767
0.383 -4.193 3.516
```

=====

Compound: TaCSe2
Source: the Alexandria database
Functional: meta-GGA SCAN
Structure: PBEsol geometry Values from VASP.

Results
* E_form (uncorrected): 526 kJ/mol of formula units
* N(E_F): 2.62 states/eV per cell
* space group: No. 166

Geometry as Quantum ESPRESSO input:
```
&SYSTEM
  ibrav = 0, nat = 4, ntyp = 3
/
ATOMIC_SPECIES
C 12.01 C.upf
Se 78.96 Se.upf
Ta 180.95 Ta.upf
ATOMIC_POSITIONS crystal
C 0.500 0.500 0.500
Se 0.892 0.892 0.325
Se 0.108 0.108 0.675
Ta 0.000 0.000 0.000
CELL_PARAMETERS angstrom
-0.921 2.746 1.146
-2.495 1.429 -1.198
-5.618 -2.211 5.013
```

=====

no.,energy (eV per cell)
1,-123.56
2,-231.72
3,-111.38